No. 1
## Ho2Ge2Ru (GGA-PBE)

Data for a relaxed Ho2Ge2Ru crystal.

Geometry as CIF:
```
data_Ho2Ge2Ru
_chemical_formula_sum 'Ho4 Ge4 Ru2'
_cell_length_a 4.283
_cell_length_b 5.779
_cell_length_c 9.216
_cell_angle_alpha 81.80
_cell_angle_beta 76.58
_cell_angle_gamma 68.25
_symmetry_space_group_name_H-M 'P 1'
_symmetry_Int_Tables_number 1
_symmetry_space_group_name_Hall 'P 1'
loop_
_atom_site_label
_atom_site_type_symbol
_atom_site_fract_x
_atom_site_fract_y
_atom_site_fract_z
_atom_site_occupancy
Ru1 Ru 0.271 0.087 0.371 1
Ru2 Ru 0.729 0.913 0.629 1
Ge1 Ge 0.513 0.850 0.124 1
Ge2 Ge 0.644 0.276 0.435 1
Ge3 Ge 0.487 0.150 0.876 1
Ge4 Ge 0.356 0.724 0.565 1
Ho1 Ho 0.184 0.744 0.888 1
Ho2 Ho 0.999 0.329 0.673 1
Ho3 Ho 0.816 0.256 0.112 1
Ho4 Ho 0.001 0.671 0.327 1
```

Values from the calculation:
Its space group is C2/m (12). The calculation puts the calculated formation energy at -804 meV per atom.

***

No. 2
## PmScSeO2 (GGA-PBE)

Data for a relaxed PmScSeO2 crystal.

Geometry as CIF:
```
data_PmScSeO2
_chemical_formula_sum 'Pm2 Sc2 Se2 O4'
_cell_length_a 4.046
_cell_length_b 6.675
_cell_length_c 7.548
_cell_angle_alpha 113.34
_cell_angle_beta 90.00
_cell_angle_gamma 90.00
_symmetry_space_group_name_H-M 'P 1'
_symmetry_Int_Tables_number 1
_symmetry_space_group_name_Hall 'P 1'
loop_
_atom_site_label
_atom_site_type_symbol
_atom_site_fract_x
_atom_site_fract_y
_atom_site_fract_z
_atom_site_occupancy
Pm1 Pm 0.250 0.692 0.941 1
Pm2 Pm 0.750 0.308 0.059 1
Sc1 Sc 0.250 0.648 0.435 1
Sc2 Sc 0.750 0.352 0.565 1
Se1 Se 0.250 0.022 0.755 1
Se2 Se 0.750 0.978 0.245 1
O1 O 0.750 0.537 0.404 1
O2 O 0.250 0.463 0.596 1
O3 O 0.750 0.505 0.860 1
O4 O 0.250 0.495 0.140 1
```

Values from the calculation:
As for the formation energy without anion corrections: -2977 meV per atom. Its space group is P2_1/m (11).

***

No. 3
## NaTl7Sb3 (GGA-PBE)

Data for a relaxed NaTl7Sb3 crystal.

Geometry as CIF:
```
data_NaTl7Sb3
_chemical_formula_sum 'Na2 Tl14 Sb6'
_cell_length_a 9.747
_cell_length_b 9.747
_cell_length_c 10.815
_cell_angle_alpha 90.00
_cell_angle_beta 90.00
_cell_angle_gamma 135.83
_symmetry_space_group_name_H-M 'P 1'
_symmetry_Int_Tables_number 1
_symmetry_space_group_name_Hall 'P 1'
loop_
_atom_site_label
_atom_site_type_symbol
_atom_site_fract_x
_atom_site_fract_y
_atom_site_fract_z
_atom_site_occupancy
Na1 Na 0.500 0.500 0.000 1
Na2 Na 0.500 0.500 0.500 1
Tl1 Tl 0.163 0.770 0.250 1
Tl2 Tl 0.230 0.837 0.750 1
Tl3 Tl 0.095 0.400 0.477 1
Tl4 Tl 0.095 0.400 0.023 1
Tl5 Tl 0.600 0.905 0.977 1
Tl6 Tl 0.600 0.905 0.523 1
Tl7 Tl 0.174 0.174 0.750 1
Tl8 Tl 0.826 0.826 0.250 1
Tl9 Tl 0.400 0.095 0.023 1
Tl10 Tl 0.400 0.095 0.477 1
Tl11 Tl 0.905 0.600 0.977 1
Tl12 Tl 0.905 0.600 0.523 1
Tl13 Tl 0.770 0.163 0.250 1
Tl14 Tl 0.837 0.230 0.750 1
Sb1 Sb 0.342 0.602 0.750 1
Sb2 Sb 0.000 0.000 0.000 1
Sb3 Sb 0.000 0.000 0.500 1
Sb4 Sb 0.398 0.658 0.250 1
Sb5 Sb 0.602 0.342 0.750 1
Sb6 Sb 0.658 0.398 0.250 1
```

Values from the calculation:
As for the formation energy without anion corrections: -23 meV per atom. Its space group is Cmcm (63). As for the offset from the most stable computed form: 0.000 eV per atom.

***

No. 4
## CeNd2Te4 (GGA-PBE)

Data for a relaxed CeNd2Te4 crystal.

Geometry as CIF:
```
data_CeNd2Te4
_chemical_formula_sum 'Ce1 Nd2 Te4'
_cell_length_a 4.498
_cell_length_b 7.836
_cell_length_c 8.891
_cell_angle_alpha 117.35
_cell_angle_beta 104.65
_cell_angle_gamma 90.00
_symmetry_space_group_name_H-M 'P 1'
_symmetry_Int_Tables_number 1
_symmetry_space_group_name_Hall 'P 1'
loop_
_atom_site_label
_atom_site_type_symbol
_atom_site_fract_x
_atom_site_fract_y
_atom_site_fract_z
_atom_site_occupancy
Ce1 Ce 0.000 0.000 0.000 1
Nd1 Nd 0.261 0.250 0.522 1
Nd2 Nd 0.739 0.750 0.478 1
Te1 Te 0.123 0.797 0.246 1
Te2 Te 0.877 0.203 0.754 1
Te3 Te 0.367 0.717 0.735 1
Te4 Te 0.633 0.283 0.265 1
```

Values from the calculation:
As for the formation energy without anion corrections: -1377 meV per atom. Its space group is C2/m (12). As for the offset from the most stable computed form: 0.020 eV per atom.

***

No. 5
## Rb5Ag2Au2 (GGA-PBE)

Data for a relaxed Rb5Ag2Au2 crystal.

Geometry as CIF:
```
data_Rb5Ag2Au2
_chemical_formula_sum 'Rb10 Ag4 Au4'
_cell_length_a 7.582
_cell_length_b 10.720
_cell_length_c 11.738
_cell_angle_alpha 117.17
_cell_angle_beta 108.72
_cell_angle_gamma 89.97
_symmetry_space_group_name_H-M 'P 1'
_symmetry_Int_Tables_number 1
_symmetry_space_group_name_Hall 'P 1'
loop_
_atom_site_label
_atom_site_type_symbol
_atom_site_fract_x
_atom_site_fract_y
_atom_site_fract_z
_atom_site_occupancy
Rb1 Rb 0.382 0.772 0.131 1
Rb2 Rb 0.252 0.228 0.869 1
Rb3 Rb 0.882 0.859 0.131 1
Rb4 Rb 0.752 0.141 0.869 1
Rb5 Rb 0.837 0.725 0.726 1
Rb6 Rb 0.111 0.274 0.274 1
Rb7 Rb 0.337 0.501 0.726 1
Rb8 Rb 0.611 0.499 0.274 1
Rb9 Rb 0.215 0.814 0.500 1
Rb10 Rb 0.715 0.186 0.500 1
Ag1 Ag 0.426 0.885 0.862 1
Ag2 Ag 0.563 0.115 0.139 1
Ag3 Ag 0.926 0.477 0.862 1
Ag4 Ag 0.063 0.524 0.139 1
Au1 Au 0.169 0.000 0.000 1
Au2 Au 0.669 0.500 0.000 1
Au3 Au 0.709 0.863 0.500 1
Au4 Au 0.209 0.137 0.500 1
```

Values from the calculation:
Its space group is Cc (9). The calculation puts the calculated formation energy at -92 meV per atom.

***

No. 6
## TbSmYCd (GGA-PBE)

Data for a relaxed TbSmYCd crystal.

Geometry as CIF:
```
data_TbSmYCd
_chemical_formula_sum 'Tb1 Sm1 Y1 Cd1'
_cell_length_a 3.625
_cell_length_b 3.625
_cell_length_c 9.063
_cell_angle_alpha 90.00
_cell_angle_beta 90.00
_cell_angle_gamma 90.00
_symmetry_space_group_name_H-M 'P 1'
_symmetry_Int_Tables_number 1
_symmetry_space_group_name_Hall 'P 1'
loop_
_atom_site_label
_atom_site_type_symbol
_atom_site_fract_x
_atom_site_fract_y
_atom_site_fract_z
_atom_site_occupancy
Tb1 Tb 0.500 0.500 0.795 1
Sm1 Sm 0.000 0.000 0.070 1
Y1 Y 0.500 0.500 0.349 1
Cd1 Cd 0.000 0.000 0.571 1
```

Values from the calculation:
Its space group is P4mm (99). As for the offset from the most stable computed form: 0.000 eV per atom. The calculation puts the calculated formation energy at -156 meV per atom.

***

No. 7
## GeH6Pd8 (GGA-PBE)

Data for a relaxed GeH6Pd8 crystal.

Geometry as CIF:
```
data_GeH6Pd8
_chemical_formula_sum 'Ge1 H6 Pd8'
_cell_length_a 5.435
_cell_length_b 5.435
_cell_length_c 5.435
_cell_angle_alpha 94.88
_cell_angle_beta 94.88
_cell_angle_gamma 94.88
_symmetry_space_group_name_H-M 'P 1'
_symmetry_Int_Tables_number 1
_symmetry_space_group_name_Hall 'P 1'
loop_
_atom_site_label
_atom_site_type_symbol
_atom_site_fract_x
_atom_site_fract_y
_atom_site_fract_z
_atom_site_occupancy
Ge1 Ge 0.000 0.000 0.000 1
H1 H 0.663 0.382 0.806 1
H2 H 0.382 0.806 0.663 1
H3 H 0.806 0.663 0.382 1
H4 H 0.337 0.618 0.194 1
H5 H 0.618 0.194 0.337 1
H6 H 0.194 0.337 0.618 1
Pd1 Pd 0.693 0.693 0.693 1
Pd2 Pd 0.307 0.307 0.307 1
Pd3 Pd 0.608 0.872 0.203 1
Pd4 Pd 0.872 0.203 0.608 1
Pd5 Pd 0.203 0.608 0.872 1
Pd6 Pd 0.392 0.128 0.797 1
Pd7 Pd 0.128 0.797 0.392 1
Pd8 Pd 0.797 0.392 0.128 1
```

Values from the calculation:
Its space group is R-3 (148). Its calculated total energy is -4.579 eV per atom.

***

No. 8
## Tb2Ga4RhAu3 (GGA-PBE)

Data for a relaxed Tb2Ga4RhAu3 crystal.

Geometry as CIF:
```
data_Tb2Ga4RhAu3
_chemical_formula_sum 'Tb2 Ga4 Rh1 Au3'
_cell_length_a 4.170
_cell_length_b 4.170
_cell_length_c 11.195
_cell_angle_alpha 90.00
_cell_angle_beta 90.00
_cell_angle_gamma 90.00
_symmetry_space_group_name_H-M 'P 1'
_symmetry_Int_Tables_number 1
_symmetry_space_group_name_Hall 'P 1'
loop_
_atom_site_label
_atom_site_type_symbol
_atom_site_fract_x
_atom_site_fract_y
_atom_site_fract_z
_atom_site_occupancy
Tb1 Tb 0.500 0.000 0.257 1
Tb2 Tb 0.000 0.500 0.743 1
Ga1 Ga 0.500 0.500 0.000 1
Ga2 Ga 0.000 0.000 0.000 1
Ga3 Ga 0.500 0.000 0.631 1
Ga4 Ga 0.000 0.500 0.369 1
Rh1 Rh 0.500 0.500 0.500 1
Au1 Au 0.000 0.000 0.500 1
Au2 Au 0.500 0.000 0.855 1
Au3 Au 0.000 0.500 0.145 1
```

Values from the calculation:
Its space group is P-4m2 (115). The calculation puts the calculated formation energy at -649 meV per atom.

***

No. 9
## La2NdY6 (GGA-PBE)

Data for a relaxed La2NdY6 crystal.

Geometry as CIF:
```
data_La2NdY6
_chemical_formula_sum 'La4 Nd2 Y12'
_cell_length_a 6.114
_cell_length_b 10.289
_cell_length_c 10.289
_cell_angle_alpha 70.38
_cell_angle_beta 83.55
_cell_angle_gamma 83.55
_symmetry_space_group_name_H-M 'P 1'
_symmetry_Int_Tables_number 1
_symmetry_space_group_name_Hall 'P 1'
loop_
_atom_site_label
_atom_site_type_symbol
_atom_site_fract_x
_atom_site_fract_y
_atom_site_fract_z
_atom_site_occupancy
La1 La 0.423 0.555 0.781 1
La2 La 0.077 0.219 0.445 1
La3 La 0.577 0.445 0.219 1
La4 La 0.923 0.781 0.555 1
Nd1 Nd 0.250 0.112 0.888 1
Nd2 Nd 0.750 0.888 0.112 1
Y1 Y 0.478 0.683 0.421 1
Y2 Y 0.022 0.579 0.317 1
Y3 Y 0.522 0.317 0.579 1
Y4 Y 0.978 0.421 0.683 1
Y5 Y 0.638 0.086 0.345 1
Y6 Y 0.862 0.655 0.914 1
Y7 Y 0.362 0.914 0.655 1
Y8 Y 0.138 0.345 0.086 1
Y9 Y 0.311 0.760 0.016 1
Y10 Y 0.189 0.984 0.240 1
Y11 Y 0.689 0.240 0.984 1
Y12 Y 0.811 0.016 0.760 1
```

Values from the calculation:
Its space group is C2/c (15). As for the offset from the most stable computed form: 0.035 eV per atom. The calculation puts the calculated formation energy at 100 meV per atom.

***

No. 10
## LiTb2Ag (GGA-PBE)

Data for a relaxed LiTb2Ag crystal.

Geometry as CIF:
```
data_LiTb2Ag
_chemical_formula_sum 'Li1 Tb2 Ag1'
_cell_length_a 5.186
_cell_length_b 5.186
_cell_length_c 5.186
_cell_angle_alpha 60.00
_cell_angle_beta 60.00
_cell_angle_gamma 60.00
_symmetry_space_group_name_H-M 'P 1'
_symmetry_Int_Tables_number 1
_symmetry_space_group_name_Hall 'P 1'
loop_
_atom_site_label
_atom_site_type_symbol
_atom_site_fract_x
_atom_site_fract_y
_atom_site_fract_z
_atom_site_occupancy
Tb1 Tb 0.250 0.250 0.250 1
Tb2 Tb 0.750 0.750 0.750 1
Ag1 Ag 0.500 0.500 0.500 1
Li1 Li 0.000 0.000 0.000 1
```

Values from the calculation:
Its space group is Fm-3m (225). As for the offset from the most stable computed form: 0.013 eV per atom. The calculation puts the calculated formation energy at -89 meV per atom.

***

Please write out number 4 again, unchanged.
## CeNd2Te4 (GGA-PBE)

Data for a relaxed CeNd2Te4 crystal.

Geometry as CIF:
```
data_CeNd2Te4
_chemical_formula_sum 'Ce1 Nd2 Te4'
_cell_length_a 4.498
_cell_length_b 7.836
_cell_length_c 8.891
_cell_angle_alpha 117.35
_cell_angle_beta 104.65
_cell_angle_gamma 90.00
_symmetry_space_group_name_H-M 'P 1'
_symmetry_Int_Tables_number 1
_symmetry_space_group_name_Hall 'P 1'
loop_
_atom_site_label
_atom_site_type_symbol
_atom_site_fract_x
_atom_site_fract_y
_atom_site_fract_z
_atom_site_occupancy
Ce1 Ce 0.000 0.000 0.000 1
Nd1 Nd 0.261 0.250 0.522 1
Nd2 Nd 0.739 0.750 0.478 1
Te1 Te 0.123 0.797 0.246 1
Te2 Te 0.877 0.203 0.754 1
Te3 Te 0.367 0.717 0.735 1
Te4 Te 0.633 0.283 0.265 1
```

Values from the calculation:
As for the formation energy without anion corrections: -1377 meV per atom. Its space group is C2/m (12). As for the offset from the most stable computed form: 0.020 eV per atom.